Material: Ce4GeP2Cl
Method: DFT, GGA-PBE
State: optimized geometry

Calculated values
For the formation energy (no corrections), the calculation gives -1.355 eV/atom. The value obtained for the total moment is 2.65 μB/cell.

Structure (extended XYZ):
```
8
Lattice="4.134 0.000 0.000 0.000 7.197 -0.163 0.000 2.512 6.647" Properties=species:S:1:pos:R:3 pbc="T T T"
Ce 0.000 7.360 4.844
Ce 4.134 2.349 1.641
Ce 2.067 6.116 1.487
Ce 2.067 3.593 4.997
Ge 2.067 3.598 -0.082
P 0.000 2.512 6.647
P 2.067 1.256 3.324
Cl 0.000 4.854 3.242
```